The following is a GGA-PBE calculation of a relaxed structure of Cs2Rb2Ca, from Alexandria via LeMat-Bulk.

Lattice parameters (Å, degrees): 6.379 6.379 12.355 75.04 75.04 90.00
Element x y z (fractional)
Cs 0.750 0.250 0.500
Cs 0.250 0.750 0.500
Ca 0.000 0.000 0.000
Rb 0.413 0.413 0.175
Rb 0.587 0.587 0.825

The value obtained for the total moment is 0.00 μB per formula unit. The calculation puts the energy of formation at 0.300 eV per atom.